No. 1
Below is a relaxed ZrCdP2 crystal, with properties calculated at the GGA-PBE level.

a = 4.9585 Å, b = 4.9585 Å, c = 4.9585 Å
α = 132.29°, β = 124.37°, γ = 76.26°
Closest atoms and distances in Å follow each position.
Fractional positions:
Zr (0.0000, 0.0000, 0.0000)  8 P 2.80-3.03, 4 Cd 3.06
Cd (0.5000, 0.5000, 0.0000)  8 P 2.80-3.02, 4 Zr 3.06
P (0.2496, 0.7496, 0.5000)  4 Zr 2.80-3.03, 4 Cd 2.80-3.02, 4 P 3.06
P (0.7504, 0.2504, 0.5000)  4 Zr 2.80-3.03, 4 Cd 2.80-3.02, 4 P 3.06

formation enthalpy at 0 K = -0.143 eV/atom
SG = Immm



No. 2
Below is a relaxed CaZnTe crystal, with properties calculated at the GGA-PBE level.

a = 4.3620 Å, b = 4.3620 Å, c = 5.2477 Å
α = 90.00°, β = 90.00°, γ = 120.00°
Closest atoms and distances in Å follow each position.
Fractional positions:
Ca (0.0000, 0.0000, 0.0000)  3 Zn 3.12, 3 Te 3.18
Zn (0.3333, 0.6667, 0.6479)  3 Te 2.91, 3 Ca 3.12
Te (0.6667, 0.3333, 0.3707)  3 Zn 2.91, 3 Ca 3.18

ΔE_f (raw) = -0.6864 eV/atom
energy relative to the lowest polymorph listed for this composition = 0.0 meV/atom
SG = P3m1



No. 3
Below is a relaxed RbNaTl4Sb2 crystal, with properties calculated at the GGA-PBE level.

a = 4.8018 Å, b = 4.8018 Å, c = 13.2043 Å
α = 90.00°, β = 90.00°, γ = 90.00°
Closest atoms and distances in Å follow each position.
Fractional positions:
Rb (0.0000, 0.0000, 0.0000)  8 Tl 3.90
Na (0.0000, 0.0000, 0.5000)  8 Sb 3.71
Tl (0.0000, 0.5000, 0.2324)  2 Sb 3.15, 4 Tl 3.40
Tl (0.0000, 0.5000, 0.7676)  2 Sb 3.15, 4 Tl 3.40
Tl (0.5000, 0.0000, 0.2324)  2 Sb 3.15, 4 Tl 3.40
Tl (0.5000, 0.0000, 0.7676)  2 Sb 3.15, 4 Tl 3.40
Sb (0.5000, 0.5000, 0.3873)  1 Sb 2.98, 4 Tl 3.15
Sb (0.5000, 0.5000, 0.6127)  1 Sb 2.98, 4 Tl 3.15

ΔE_f (raw) = -0.1244 eV/atom
SG = P4/mmm



No. 4
Below is a relaxed La4Tb2Nd2Tm crystal, with properties calculated at the GGA-PBE level.

a = 8.2042 Å, b = 8.2042 Å, c = 8.1745 Å
α = 107.79°, β = 107.79°, γ = 36.82°
Closest atoms and distances in Å follow each position.
Fractional positions:
La (0.0540, 0.0540, 0.3323)  2 Nd 3.62-3.67, 4 Tb 3.65-3.68, 4 La 3.65-3.69, 2 Tm 3.65
La (0.2774, 0.2774, 0.6673)  3 Nd 3.65-3.67, 1 Tm 3.65, 5 La 3.66-3.69, 3 Tb 3.67-3.70
La (0.7226, 0.7226, 0.3327)  3 Nd 3.65-3.67, 1 Tm 3.65, 5 La 3.66-3.69, 3 Tb 3.67-3.70
La (0.9460, 0.9460, 0.6677)  2 Nd 3.62-3.67, 4 Tb 3.65-3.68, 4 La 3.65-3.69, 2 Tm 3.65
Tb (0.3887, 0.3887, 0.3295)  3 Nd 3.64, 1 Tm 3.64, 7 La 3.65-3.70, 1 Tb 3.68
Tb (0.6113, 0.6113, 0.6705)  3 Nd 3.64, 1 Tm 3.64, 7 La 3.65-3.70, 1 Tb 3.68
Nd (0.1660, 0.1660, 0.0002)  5 La 3.62-3.67, 3 Tb 3.64, 2 Tm 3.66, 2 Nd 3.68
Nd (0.8340, 0.8340, 0.9998)  5 La 3.62-3.67, 3 Tb 3.64, 2 Tm 3.66, 2 Nd 3.68
Tm (0.5000, 0.5000, 0.0000)  2 Tb 3.64, 6 La 3.65, 4 Nd 3.66

formation enthalpy at 0 K = 0.023 eV/atom
SG = C2/m



No. 5
Below is a relaxed PaAl4Pd crystal, with properties calculated at the GGA-PBE level.

a = 8.2011 Å, b = 8.2011 Å, c = 6.6418 Å
α = 90.00°, β = 90.00°, γ = 150.34°
Closest atoms and distances in Å follow each position.
Fractional positions:
Pa (0.1109, 0.8891, 0.7500)  9 Al 2.90-3.20
Pa (0.8891, 0.1109, 0.2500)  9 Al 2.90-3.20
Al (0.0722, 0.9278, 0.2500)  1 Pd 2.43
Al (0.3185, 0.6815, 0.5500)  3 Pd 2.48-2.58, 1 Al 2.66
Al (0.3185, 0.6815, 0.9500)  3 Pd 2.48-2.58, 1 Al 2.66
Al (0.5000, 0.5000, 0.0000)  6 Al 2.90-2.91, 4 Pa 3.20
Al (0.5000, 0.5000, 0.5000)  6 Al 2.90-2.91, 4 Pa 3.20
Al (0.6815, 0.3185, 0.0500)  3 Pd 2.48-2.58, 1 Al 2.66
Al (0.6815, 0.3185, 0.4500)  3 Pd 2.48-2.58, 1 Al 2.66
Al (0.9278, 0.0722, 0.7500)  1 Pd 2.43
Pd (0.2256, 0.7744, 0.2500)  7 Al 2.43-2.58
Pd (0.7744, 0.2256, 0.7500)  7 Al 2.43-2.58

formation enthalpy at 0 K = -0.462 eV/atom
SG = Cmcm



No. 6
Below is a relaxed TbPu2Sc crystal, with properties calculated at the GGA-PBE level.

a = 11.9901 Å, b = 11.9901 Å, c = 11.9901 Å
α = 15.76°, β = 15.76°, γ = 15.76°
Closest atoms and distances in Å follow each position.
Fractional positions:
Tb (0.0000, 0.0000, 0.0000)  2 Pu 3.17, 6 Tb 3.29
Pu (0.0891, 0.0891, 0.0891)  1 Tb 3.17, 6 Pu 3.29, 3 Sc 3.34
Pu (0.9109, 0.9109, 0.9109)  1 Tb 3.17, 6 Pu 3.29, 3 Sc 3.34
Sc (0.5000, 0.5000, 0.5000)  6 Sc 3.29, 6 Pu 3.34

energy relative to the lowest polymorph listed for this composition = 153.9 meV/atom
formation enthalpy at 0 K = 0.326 eV/atom
SG = R-3m



No. 7
Below is a relaxed PmDy5Tm2Th crystal, with properties calculated at the GGA-PBE level.

a = 10.9874 Å, b = 10.9874 Å, c = 9.6900 Å
α = 90.00°, β = 90.00°, γ = 149.88°
Closest atoms and distances in Å follow each position.
Fractional positions:
Pm (0.0958, 0.9042, 0.5000)  2 Dy 3.03-3.18
Pm (0.9042, 0.0958, 0.0000)  2 Dy 3.03-3.18
Dy (0.0291, 0.9709, 0.1807)  2 Pm 3.18-3.40, 3 Dy 3.30-3.54, 2 Tm 3.45
Dy (0.1068, 0.8932, 0.8860)  3 Dy 3.30-3.65, 4 Tm 3.34-3.53
Dy (0.1951, 0.8049, 0.2093)  2 Th 3.40, 5 Dy 3.44-3.78, 3 Tm 3.51-3.67, 1 Pm 3.52
Dy (0.2324, 0.7676, 0.5906)  1 Pm 3.03, 1 Tm 3.29
Dy (0.4863, 0.5137, 0.9082)  2 Tm 3.26-3.61, 2 Pm 3.46, 2 Dy 3.62
Dy (0.5137, 0.4863, 0.4082)  2 Tm 3.26-3.61, 2 Pm 3.46, 2 Dy 3.62
Dy (0.7676, 0.2324, 0.0906)  1 Pm 3.03, 1 Tm 3.29
Dy (0.8049, 0.1951, 0.7093)  2 Th 3.40, 5 Dy 3.44-3.78, 3 Tm 3.51-3.67, 1 Pm 3.52
Dy (0.8932, 0.1068, 0.3860)  3 Dy 3.30-3.65, 4 Tm 3.34-3.53
Dy (0.9709, 0.0291, 0.6807)  2 Pm 3.18-3.40, 3 Dy 3.30-3.54, 2 Tm 3.45
Tm (0.3680, 0.6320, 0.2158)  1 Th 3.30, 4 Dy 3.34-3.67, 2 Pm 3.62
Tm (0.3876, 0.6124, 0.5998)  8 Dy 3.26-3.53, 1 Th 3.34
Tm (0.6124, 0.3876, 0.0998)  8 Dy 3.26-3.53, 1 Th 3.34
Tm (0.6320, 0.3680, 0.7158)  1 Th 3.30, 4 Dy 3.34-3.67, 2 Pm 3.62
Th (0.3101, 0.6899, 0.8999)  2 Tm 3.30-3.34, 5 Dy 3.40-3.52, 2 Pm 3.62
Th (0.6899, 0.3101, 0.3999)  2 Tm 3.30-3.34, 5 Dy 3.40-3.52, 2 Pm 3.62

formation enthalpy at 0 K = 0.165 eV/atom
SG = Cmc2_1



No. 8
Below is a relaxed PaGaFe4 crystal, with properties calculated at the GGA-PBE level.

a = 4.9539 Å, b = 4.9539 Å, c = 4.9539 Å
α = 60.00°, β = 60.00°, γ = 60.00°
Closest atoms and distances in Å follow each position.
Fractional positions:
Pa (0.0000, 0.0000, 0.0000)  12 Fe 2.91, 4 Ga 3.03
Ga (0.7500, 0.7500, 0.7500)  12 Fe 2.90, 4 Pa 3.03
Fe (0.3757, 0.3757, 0.3757)  6 Fe 2.46-2.49
Fe (0.3757, 0.3757, 0.8729)  6 Fe 2.46-2.49
Fe (0.3757, 0.8729, 0.3757)  6 Fe 2.46-2.49
Fe (0.8729, 0.3757, 0.3757)  6 Fe 2.46-2.49

energy relative to the lowest polymorph listed for this composition = 0.0 meV/atom
formation enthalpy at 0 K = -0.115 eV/atom
SG = F-43m



No. 9
Below is a relaxed Y3Ni crystal, with properties calculated at the GGA-PBE level.

a = 5.9751 Å, b = 5.9751 Å, c = 5.9751 Å
α = 116.39°, β = 116.39°, γ = 116.39°
Closest atoms and distances in Å follow each position.
Fractional positions:
Y (0.0000, 0.5000, 0.5000)  6 Y 3.15-3.45, 2 Ni 3.15
Y (0.5000, 0.0000, 0.5000)  2 Ni 3.15, 6 Y 3.15-3.45
Y (0.5000, 0.5000, 0.0000)  6 Y 3.15-3.45, 2 Ni 3.15
Ni (0.0000, 0.0000, 0.0000)  6 Y 3.15, 2 Ni 3.45

formation enthalpy at 0 K = 0.260 eV/atom
SG = R-3m



No. 10
Below is a relaxed K2Cu2Pb crystal, with properties calculated at the GGA-PBE level.

a = 11.8343 Å, b = 11.8343 Å, c = 11.8343 Å
α = 163.11°, β = 163.11°, γ = 23.98°
Closest atoms and distances in Å follow each position.
Fractional positions:
K (0.1245, 0.1245, 0.0000)  4 Cu 3.38, 4 K 3.48, 4 Pb 3.79
K (0.8755, 0.8755, 0.0000)  4 Cu 3.38, 4 K 3.48, 4 Pb 3.79
Cu (0.2500, 0.7500, 0.5000)  4 Cu 2.46
Cu (0.7500, 0.2500, 0.5000)  4 Cu 2.46
Pb (0.5000, 0.5000, 0.0000)  4 Pb 3.48, 8 K 3.79

energy relative to the lowest polymorph listed for this composition = 0.0 meV/atom
formation enthalpy at 0 K = 0.189 eV/atom
SG = I4/mmm



Number 1: DFT total energy -0.192 hartree per atom. Number 2: DFT total energy -0.104 hartree per atom. Number 3: DFT total energy -0.096 hartree per atom. Number 4: DFT total energy -0.175 hartree per atom. Number 5: DFT total energy -0.199 hartree per atom. Number 6: DFT total energy -0.352 hartree per atom. Number 7: DFT total energy -0.174 hartree per atom. Number 8: DFT total energy -0.288 hartree per atom. Number 9: DFT total energy -0.222 hartree per atom. Number 10: DFT total energy -0.097 hartree per atom.